A plane-wave DFT calculation with PBE was carried out for a geometry-optimized AcScIn2Au4 structure. Values from VASP.

Geometry as Quantum ESPRESSO input:
```
&SYSTEM
  ibrav = 0, nat = 8, ntyp = 4
/
ATOMIC_SPECIES
Sc 44.96 Sc.upf
In 114.82 In.upf
Ac 227.00 Ac.upf
Au 196.97 Au.upf
CELL_PARAMETERS angstrom
-4.152 -1.690 -1.816
0.071 -3.181 -3.642
-1.191 -8.396 4.098
ATOMIC_POSITIONS angstrom
Sc -2.636 -6.634 -0.680
In -1.314 -3.462 -0.213
In -3.957 -9.805 -1.147
Ac 0.000 0.000 0.000
Au -2.689 -4.486 -2.556
Au -4.012 -7.616 -3.060
Au -2.582 -8.781 1.196
Au -1.260 -5.651 1.700
```

Properties
* spin magnetization: 0.0 Bohr magnetons per cell
* calculated total energy: -4.275 eV/atom
* space group: R-3m (166)

=====

A plane-wave DFT calculation with PBE was carried out for a geometry-optimized Be2AlAs structure. Values from VASP.

Geometry as Quantum ESPRESSO input:
```
&SYSTEM
  ibrav = 0, nat = 4, ntyp = 3
/
ATOMIC_SPECIES
Be 9.01 Be.upf
As 74.92 As.upf
Al 26.98 Al.upf
CELL_PARAMETERS angstrom
1.321 -2.500 3.155
-1.241 0.773 3.977
-2.728 -2.616 1.914
ATOMIC_POSITIONS angstrom
Be -0.662 -1.086 2.261
Be -1.986 -3.258 6.784
As -1.324 -2.172 4.523
Al 0.000 0.000 0.000
```

Properties
* distance to the lowest polymorph of the same formula: 296 meV/atom
* spin magnetization: 0.0 Bohr magnetons per cell
* calculated total energy: -3.446 eV/atom
* space group: Fm-3m (225)

=====

A plane-wave DFT calculation with PBE was carried out for a geometry-optimized NaSbAs2Se structure. Values from VASP.

Geometry as Quantum ESPRESSO input:
```
&SYSTEM
  ibrav = 0, nat = 5, ntyp = 4
/
ATOMIC_SPECIES
Na 22.99 Na.upf
As 74.92 As.upf
Se 78.96 Se.upf
Sb 121.76 Sb.upf
CELL_PARAMETERS angstrom
5.019 0.000 0.000
0.000 5.019 0.000
0.000 0.000 5.120
ATOMIC_POSITIONS angstrom
Na 0.000 0.000 0.000
As 2.509 0.000 0.000
As 0.000 2.509 0.000
Se 0.000 0.000 2.560
Sb 2.509 2.509 2.560
```

Properties
* distance to the lowest polymorph of the same formula: 525 meV/atom
* spin magnetization: 0.0 Bohr magnetons per cell
* calculated total energy: -2.744 eV/atom
* space group: P4/mmm (123)
* uncorrected formation energy: 0.90 eV per atom

=====

A plane-wave DFT calculation with PBE was carried out for a geometry-optimized SiHgOs2 structure. Values from VASP.

Geometry as Quantum ESPRESSO input:
```
&SYSTEM
  ibrav = 0, nat = 4, ntyp = 3
/
ATOMIC_SPECIES
Hg 200.59 Hg.upf
Os 190.23 Os.upf
Si 28.09 Si.upf
CELL_PARAMETERS angstrom
4.566 0.016 0.018
3.671 2.716 0.018
1.053 0.349 6.012
ATOMIC_POSITIONS angstrom
Hg 2.635 0.874 1.442
Os 1.259 0.417 5.651
Os 6.687 2.218 4.000
Si 4.407 1.462 3.992
```

Properties
* distance to the lowest polymorph of the same formula: 296 meV/atom
* spin magnetization: 0.0 Bohr magnetons per cell
* calculated total energy: -6.491 eV/atom
* space group: Cm (8)
* uncorrected formation energy: 0.56 eV per atom

=====

A plane-wave DFT calculation with PBE was carried out for a geometry-optimized Li4PrPu3O12 structure. Values from VASP.

Geometry as Quantum ESPRESSO input:
```
&SYSTEM
  ibrav = 0, nat = 20, ntyp = 4
/
ATOMIC_SPECIES
O 16.00 O.upf
Li 6.94 Li.upf
Pu 244.00 Pu.upf
Pr 140.91 Pr.upf
CELL_PARAMETERS angstrom
6.929 -0.157 -0.218
-1.822 6.687 -0.218
-1.822 -2.330 6.272
ATOMIC_POSITIONS angstrom
O 4.021 -1.471 3.994
O 5.101 2.959 0.352
O -0.736 -0.054 5.963
O 5.682 0.652 1.842
O 1.643 -1.464 5.483
O 0.195 3.232 2.918
O 1.643 0.609 3.991
O 3.090 2.459 1.844
O 3.160 4.927 -0.127
O -2.397 2.661 4.632
O -1.816 4.805 2.918
O 0.125 5.885 1.203
Li -2.166 1.155 5.742
Li 5.451 -0.878 2.918
Li 1.643 2.100 2.918
Li 1.643 6.024 0.093
Pu 2.047 -1.369 3.403
Pu -1.822 2.701 2.651
Pu 3.060 2.868 -0.218
Pr 0.000 0.000 0.000
```

Properties
* spin magnetization: 7.0 Bohr magnetons per cell
* calculated total energy: -8.209 eV/atom
* space group: R32 (155)
* uncorrected formation energy: -2.46 eV per atom

=====

A plane-wave DFT calculation with PBE was carried out for a geometry-optimized ScMn4Fe7 structure. Values from VASP.

Geometry as Quantum ESPRESSO input:
```
&SYSTEM
  ibrav = 0, nat = 12, ntyp = 3
/
ATOMIC_SPECIES
Fe 55.84 Fe.upf
Mn 54.94 Mn.upf
Sc 44.96 Sc.upf
CELL_PARAMETERS angstrom
1.111 3.642 1.720
-1.281 0.090 5.713
6.844 -0.627 1.981
ATOMIC_POSITIONS angstrom
Fe 3.646 0.973 5.736
Fe 3.029 2.132 3.678
Fe 1.262 0.699 2.780
Fe 6.119 1.284 8.554
Fe 3.779 -0.176 3.006
Fe 5.412 2.406 6.634
Fe 2.896 3.280 6.409
Mn 0.834 2.316 4.707
Mn 1.553 1.117 6.782
Mn 5.122 1.988 2.631
Mn 5.841 0.789 4.707
Sc 5.563 -0.537 7.694
```

Properties
* spin magnetization: 9.9 Bohr magnetons per cell
* calculated total energy: -8.200 eV/atom
* space group: C2/m (12)

=====

A plane-wave DFT calculation with PBE was carried out for a geometry-optimized LiLaSmPd structure. Values from VASP.

Geometry as Quantum ESPRESSO input:
```
&SYSTEM
  ibrav = 0, nat = 4, ntyp = 4
/
ATOMIC_SPECIES
Pd 106.42 Pd.upf
La 138.91 La.upf
Sm 150.36 Sm.upf
Li 6.94 Li.upf
CELL_PARAMETERS angstrom
5.210 0.000 0.000
2.605 4.512 0.000
2.605 1.504 4.254
ATOMIC_POSITIONS angstrom
Pd 2.605 1.504 1.064
La 0.000 0.000 0.000
Sm 5.210 3.008 2.127
Li 7.815 4.512 3.191
```

Properties
* spin magnetization: 0.0 Bohr magnetons per cell
* calculated total energy: -4.509 eV/atom
* space group: F-43m (216)

=====

A plane-wave DFT calculation with PBE was carried out for a geometry-optimized Pm2Al4InAg3 structure. Values from VASP.

Geometry as Quantum ESPRESSO input:
```
&SYSTEM
  ibrav = 0, nat = 10, ntyp = 4
/
ATOMIC_SPECIES
Al 26.98 Al.upf
Ag 107.87 Ag.upf
Pm 145.00 Pm.upf
In 114.82 In.upf
CELL_PARAMETERS angstrom
4.385 0.000 0.000
0.000 4.385 0.000
0.000 0.000 11.077
ATOMIC_POSITIONS angstrom
Al 2.193 0.000 7.173
Al 0.000 0.000 0.000
Al 2.193 2.193 0.000
Al 0.000 2.193 3.903
Ag 0.000 0.000 5.538
Ag 2.193 0.000 9.662
Ag 0.000 2.193 1.415
Pm 2.193 0.000 2.702
Pm 0.000 2.193 8.375
In 2.193 2.193 5.538
```

Properties
* spin magnetization: 0.0 Bohr magnetons per cell
* calculated total energy: -3.925 eV/atom
* space group: P-4m2 (115)

=====

A plane-wave DFT calculation with PBE was carried out for a geometry-optimized VMoHRu2 structure. Values from VASP.

Geometry as Quantum ESPRESSO input:
```
&SYSTEM
  ibrav = 0, nat = 5, ntyp = 4
/
ATOMIC_SPECIES
Ru 101.07 Ru.upf
V 50.94 V.upf
Mo 95.94 Mo.upf
H 1.01 H.upf
CELL_PARAMETERS angstrom
3.895 0.000 0.000
0.000 3.895 0.000
0.000 0.000 3.929
ATOMIC_POSITIONS angstrom
Ru 1.947 0.000 0.000
Ru 0.000 1.947 0.000
V 1.947 1.947 1.964
Mo 0.000 0.000 1.964
H 0.000 0.000 0.000
```

Properties
* distance to the lowest polymorph of the same formula: 40 meV/atom
* spin magnetization: 0.0 Bohr magnetons per cell
* calculated total energy: -8.373 eV/atom
* space group: P4/mmm (123)

=====

A plane-wave DFT calculation with PBE was carried out for a geometry-optimized K2Si3SnO9 structure. Values from VASP.

Geometry as Quantum ESPRESSO input:
```
&SYSTEM
  ibrav = 0, nat = 30, ntyp = 4
/
ATOMIC_SPECIES
Si 28.09 Si.upf
O 16.00 O.upf
K 39.10 K.upf
Sn 118.71 Sn.upf
CELL_PARAMETERS angstrom
-2.737 7.265 -0.530
-7.200 -1.877 -2.279
-3.309 0.268 7.038
ATOMIC_POSITIONS angstrom
Si -8.018 3.449 5.589
Si -8.370 -0.796 1.328
Si -6.316 5.642 -0.851
Si -10.142 1.584 1.430
Si -5.061 3.587 5.828
Si -8.178 6.213 1.391
O -4.859 0.447 2.163
O -7.081 5.266 0.577
O -6.771 -0.960 0.921
O -3.111 -0.071 -0.326
O -2.010 0.512 2.342
O -8.667 0.825 1.546
O -3.852 2.851 4.964
O -4.922 4.747 -0.922
O -9.906 3.183 1.583
O -11.971 3.304 3.712
O -3.678 3.107 2.303
O -11.434 5.698 2.195
O -1.832 2.528 0.204
O -6.474 3.399 4.973
O -9.055 3.072 4.399
O -8.535 5.487 2.798
O -10.624 5.529 4.958
O -4.872 2.172 -0.185
K -6.213 0.202 -1.812
K -2.934 5.653 1.166
K -6.646 2.838 2.122
K -4.216 -0.148 4.912
Sn -3.373 1.440 1.077
Sn -10.242 4.374 3.270
```

Properties
* distance to the lowest polymorph of the same formula: 0 meV/atom
* spin magnetization: 0.0 Bohr magnetons per cell
* calculated total energy: -6.941 eV/atom
* space group: R3 (146)
* uncorrected formation energy: -2.47 eV per atom

=====

A plane-wave DFT calculation with PBE was carried out for a geometry-optimized Pm4Pr5In2 structure. Values from VASP.

Geometry as Quantum ESPRESSO input:
```
&SYSTEM
  ibrav = 0, nat = 11, ntyp = 3
/
ATOMIC_SPECIES
In 114.82 In.upf
Pm 145.00 Pm.upf
Pr 140.91 Pr.upf
CELL_PARAMETERS angstrom
-0.544 3.307 1.366
-7.706 -2.423 2.796
11.754 -2.992 7.130
ATOMIC_POSITIONS angstrom
In 5.587 -2.337 7.884
In -2.084 0.230 3.408
Pm -4.729 -1.842 2.575
Pm 3.396 -1.595 5.216
Pm 0.107 -0.512 6.077
Pm 8.232 -0.266 8.717
Pr -2.646 -2.611 5.267
Pr 6.149 0.504 6.025
Pr 2.444 -1.183 8.633
Pr 1.059 -0.924 2.659
Pr -0.272 1.654 0.683
```

Properties
* spin magnetization: 0.0 Bohr magnetons per cell
* calculated total energy: -4.473 eV/atom
* space group: C2/m (12)

=====

A plane-wave DFT calculation with PBE was carried out for a geometry-optimized CdFeBr2 structure. Values from VASP.

Geometry as Quantum ESPRESSO input:
```
&SYSTEM
  ibrav = 0, nat = 8, ntyp = 3
/
ATOMIC_SPECIES
Cd 112.41 Cd.upf
Br 79.90 Br.upf
Fe 55.84 Fe.upf
CELL_PARAMETERS angstrom
-4.625 -5.884 -1.083
5.798 -4.070 -2.648
1.557 -6.587 2.733
ATOMIC_POSITIONS angstrom
Cd 0.000 0.000 0.000
Cd -1.241 -8.724 -0.108
Br 1.463 -13.137 -0.881
Br 2.852 -5.668 -1.243
Br -1.194 -5.092 -0.188
Br 2.338 -9.186 0.317
Fe 0.586 -4.977 -1.865
Fe 3.971 -7.817 -0.890
```

Properties
* distance to the lowest polymorph of the same formula: 45 meV/atom
* spin magnetization: 8.0 Bohr magnetons per cell
* calculated total energy: -3.254 eV/atom
* space group: I-42d (122)
* uncorrected formation energy: -0.07 eV per atom